Record 1
Below is a geometry-optimized Sr2Pm structure, with properties calculated at the PBE-GGA level.

Cell: 3.9692 3.9700 10.1734 Å, 78.77 78.77 60.02°
Sites, in units of the cell vectors:
Pm1 0.2819 0.0247 0.5530
Sr1 0.0543 0.7990 0.2324
Sr2 0.5084 0.2527 0.8735

**Density of states at the Fermi level**: 1.7475 states/eV per atom
**Calculated volume**: 45.1 Å³/atom
**Energy above the lowest structure with this stoichiometry**: 0.00 kcal/mol of atoms

---

Record 2
Below is a geometry-optimized SrPm2 structure, with properties calculated at the PBE-GGA level.

Cell: 7.0540 7.0540 7.0540 Å, 60.00 60.00 60.00°
Sites, in units of the cell vectors:
Pm1 0.6250 0.6250 0.6250
Pm2 0.6250 0.6250 0.1250
Pm3 0.1250 0.6250 0.6250
Pm4 0.6250 0.1250 0.6250
Sr1 0.0000 0.0000 0.0000
Sr2 0.2500 0.2500 0.2500

**Density of states at the Fermi level**: 1.7164 states/eV per atom
**Calculated volume**: 41.4 Å³/atom
**Energy above the lowest structure with this stoichiometry**: 2.36 kcal/mol of atoms

---

Record 3
Below is a geometry-optimized Sr6Pm structure, with properties calculated at the PBE-GGA level.

Cell: 8.3566 8.3566 8.3566 Å, 109.47 109.47 109.47°
Each line ends with the local moment (μB).
Sites, in units of the cell vectors:
Sr1 0.2500 0.5000 0.7500  0.01
Sr2 0.7500 0.5000 0.2500  0.01
Sr3 0.2500 0.7500 0.5000  0.01
Sr4 0.5000 0.7500 0.2500  0.01
Sr5 0.5000 0.2500 0.7500  0.01
Sr6 0.7500 0.2500 0.5000  0.01
Pm1 0.0000 0.0000 0.0000  0.19

**Total energy**: -0.864 eV/atom
**Density of states at the Fermi level**: 2.2992 states/eV per atom
**Calculated volume**: 64.2 Å³/atom

---

Record 4
Below is a geometry-optimized Sr5Pm structure, with properties calculated at the PBE-GGA level.

Cell: 4.4708 6.5946 10.4355 Å, 108.42 90.00 90.00°
Sites, in units of the cell vectors:
Sr1 0.5000 0.8449 0.6897
Sr2 0.5000 0.5000 0.0000
Sr3 0.0000 0.3308 0.6615
Sr4 0.5000 0.1551 0.3103
Sr5 0.0000 0.6692 0.3385
Pm1 0.0000 0.0000 0.0000

**Total energy**: -2.093 eV/atom
**Density of states at the Fermi level**: 0.9565 states/eV per atom
**Calculated volume**: 48.7 Å³/atom

---

Record 5
Below is a geometry-optimized SrPm3 structure, with properties calculated at the PBE-GGA level.

Cell: 3.7440 6.0181 6.7040 Å, 90.00 90.00 90.00°
Sites, in units of the cell vectors:
Pm1 0.5000 0.0000 0.5225
Pm2 0.5000 0.5000 0.8268
Pm3 0.0000 0.0000 0.9905
Sr1 0.0000 0.5000 0.3267

**Total energy**: -3.846 eV/atom
**Density of states at the Fermi level**: 1.5614 states/eV per atom
**Calculated volume**: 37.8 Å³/atom

---

Record 6
Below is a geometry-optimized SrTbPm2 structure, with properties calculated at the PBE-GGA level.

Cell: 3.6601 3.6601 13.2029 Å, 82.03 82.03 60.00°
Sites, in units of the cell vectors:
Tb1 0.5000 0.5000 0.5000
Pm1 0.9068 0.9068 0.2795
Pm2 0.0932 0.0932 0.7205
Sr1 0.0000 0.0000 0.0000

**Density of states at the Fermi level**: 1.4744 states/eV per atom
**Calculated volume**: 37.8 Å³/atom
**Energy above the lowest structure with this stoichiometry**: 2.19 kcal/mol of atoms

---

Record 7
Below is a geometry-optimized SrTbPm2 structure, with properties calculated at the PBE-GGA level.

Cell: 5.2694 5.2811 5.2811 Å, 90.00 90.00 90.00°
Sites, in units of the cell vectors:
Tb1 0.5000 0.5000 0.5000
Sr1 0.5000 0.0000 0.0000
Pm1 0.0000 0.5000 0.0000
Pm2 0.0000 0.0000 0.5000

**Density of states at the Fermi level**: 1.7108 states/eV per atom
**Calculated volume**: 36.7 Å³/atom
**Energy above the lowest structure with this stoichiometry**: 1.84 kcal/mol of atoms

---

Record 8
Below is a geometry-optimized SrTbPm2 structure, with properties calculated at the PBE-GGA level.

Cell: 3.7237 3.7237 12.5427 Å, 81.46 81.46 60.00°
Sites, in units of the cell vectors:
Sr1 0.5003 0.5003 0.4991
Tb1 0.6664 0.6664 0.0008
Pm1 0.0769 0.0769 0.7694
Pm2 0.2564 0.2564 0.2307

**Density of states at the Fermi level**: 1.3346 states/eV per atom
**Calculated volume**: 37.1 Å³/atom
**Energy above the lowest structure with this stoichiometry**: 0.12 kcal/mol of atoms

---

Record 9
Below is a geometry-optimized SrTb2Pm structure, with properties calculated at the PBE-GGA level.

Cell: 3.7041 3.7041 12.4141 Å, 81.42 81.42 60.00°
Sites, in units of the cell vectors:
Tb1 0.2556 0.2556 0.2331
Tb2 0.0777 0.0777 0.7670
Sr1 0.5005 0.5005 0.4985
Pm1 0.6662 0.6662 0.0014

**Density of states at the Fermi level**: 1.4162 states/eV per atom
**Calculated volume**: 36.3 Å³/atom
**Energy above the lowest structure with this stoichiometry**: 0.00 kcal/mol of atoms

---

Record 10
Below is a geometry-optimized SrTb2Pm structure, with properties calculated at the PBE-GGA level.

Cell: 5.2404 5.2464 5.2464 Å, 90.00 90.00 90.00°
Sites, in units of the cell vectors:
Tb1 0.0000 0.0000 0.5000
Tb2 0.0000 0.5000 0.0000
Sr1 0.5000 0.5000 0.5000
Pm1 0.5000 0.0000 0.0000

**Density of states at the Fermi level**: 1.7338 states/eV per atom
**Calculated volume**: 36.1 Å³/atom
**Energy above the lowest structure with this stoichiometry**: 1.68 kcal/mol of atoms

---

Record 11
Below is a geometry-optimized SrTbPm2 structure, with properties calculated at the PBE-GGA level.

Cell: 3.7262 3.7262 10.7460 Å, 90.00 90.00 90.00°
Sites, in units of the cell vectors:
Pm1 0.0000 0.0000 0.7771
Pm2 0.0000 0.0000 0.2229
Sr1 0.5000 0.5000 0.5000
Tb1 0.5000 0.5000 0.0000

**Density of states at the Fermi level**: 1.4241 states/eV per atom
**Calculated volume**: 37.3 Å³/atom
**Energy above the lowest structure with this stoichiometry**: 0.00 kcal/mol of atoms

---

Record 12
Below is a geometry-optimized SrTb2Pm structure, with properties calculated at the PBE-GGA level.

Cell: 3.6417 3.6417 13.0400 Å, 81.97 81.97 60.00°
Sites, in units of the cell vectors:
Tb1 0.9077 0.9077 0.2768
Tb2 0.0923 0.0923 0.7232
Pm1 0.5000 0.5000 0.5000
Sr1 0.0000 0.0000 0.0000

**Density of states at the Fermi level**: 1.5503 states/eV per atom
**Calculated volume**: 37.0 Å³/atom
**Energy above the lowest structure with this stoichiometry**: 2.28 kcal/mol of atoms

---

What is the density of states at the Fermi level in the twelfth record? 1.5503 states/eV per atom